Record 1
LiCuS4: relaxed, PBE-GGA.

Output
Symmetry ... C2/c
ΔE_f (raw) ... -28 kJ per mole of atoms
Spin magnetization ... 0.000 μB/atom

Cell lengths 7.402, 6.864, 7.629 Å; angles 127.04, 128.80, 71.68 degrees
Atoms (fractional coordinates):
S 0.695 0.050 0.352
S 0.542 0.246 0.963
S 0.458 0.754 0.037
S 0.922 0.718 0.963
S 0.156 0.302 0.352
S 0.078 0.282 0.037
S 0.844 0.698 0.648
S 0.305 0.950 0.648
Li 0.371 0.621 0.241
Li 0.629 0.379 0.759
Cu 0.865 0.115 0.230
Cu 0.135 0.885 0.770

=====

Record 2
LiCu2S2: relaxed, PBE-GGA.

Output
Symmetry ... I4/mmm
ΔE_f (raw) ... -25 kJ per mole of atoms
Spin magnetization ... 0.000 μB/atom

Cell lengths 4.583, 4.583, 5.130 Å; angles 63.47, 63.47, 90.00 degrees
Atoms (fractional coordinates):
S 0.750 0.250 0.500
S 0.250 0.750 0.500
Cu 0.677 0.677 0.646
Cu 0.323 0.323 0.354
Li 0.000 0.000 0.000

=====

Record 3
LiCuS2: relaxed, PBE-GGA.

Output
Symmetry ... Pnnm
ΔE_f (raw) ... -50 kJ per mole of atoms
Spin magnetization ... 0.000 μB/atom

Cell lengths 5.966, 6.655, 3.375 Å; angles 90.00, 90.00, 90.00 degrees
Atoms (fractional coordinates):
Cu 0.500 0.500 0.500
Cu 0.000 0.000 0.000
Li 0.500 0.000 0.000
Li 0.000 0.500 0.500
S 0.316 0.354 0.000
S 0.684 0.646 0.000
S 0.184 0.854 0.500
S 0.816 0.146 0.500

=====

Record 4
Li3CuS: relaxed, PBE-GGA.

Output
Symmetry ... Pm-3m
ΔE_f (raw) ... -9 kJ per mole of atoms
Spin magnetization ... 0.000 μB/atom
Energy above the lowest structure with this stoichiometry ... 397 meV/atom

Cell lengths 4.485, 4.485, 4.485 Å; angles 90.00, 90.00, 90.00 degrees
Atoms (fractional coordinates):
S 0.500 0.500 0.500
Li 0.000 0.000 0.500
Li 0.000 0.500 0.000
Li 0.500 0.000 0.000
Cu 0.000 0.000 0.000

=====

Record 5
LiCuS2: relaxed, PBE-GGA.

Output
Symmetry ... I-42d
ΔE_f (raw) ... -36 kJ per mole of atoms
Spin magnetization ... 0.000 μB/atom

Cell lengths 5.631, 5.631, 6.263 Å; angles 63.29, 63.29, 90.00 degrees
Atoms (fractional coordinates):
Li 0.500 0.500 0.000
Li 0.250 0.750 0.500
S 0.091 0.625 0.250
S 0.375 0.341 0.750
S 0.659 0.125 0.250
S 0.875 0.909 0.750
Cu 0.000 0.000 0.000
Cu 0.750 0.250 0.500

=====

Record 6
LiCu2S2: relaxed, PBE-GGA.

Output
Symmetry ... I4/mmm
ΔE_f (raw) ... -40 kJ per mole of atoms
Spin magnetization ... 0.000 μB/atom

Cell lengths 3.708, 3.708, 6.571 Å; angles 73.61, 73.61, 90.00 degrees
Atoms (fractional coordinates):
S 0.369 0.369 0.262
S 0.631 0.631 0.738
Cu 0.250 0.750 0.500
Cu 0.750 0.250 0.500
Li 0.000 0.000 0.000

=====

Record 7
LiCu2S6: relaxed, PBE-GGA.

Output
Symmetry ... P-31m
ΔE_f (raw) ... -13 kJ per mole of atoms
Spin magnetization ... 0.000 μB/atom

Cell lengths 4.484, 6.625, 6.625 Å; angles 119.99, 90.01, 90.01 degrees
Atoms (fractional coordinates):
S 0.189 0.414 0.000
S 0.189 0.000 0.414
S 0.189 0.586 0.586
S 0.811 0.586 0.000
S 0.811 0.414 0.414
S 0.811 0.000 0.586
Cu 0.500 0.333 0.667
Cu 0.500 0.667 0.333
Li 0.000 0.000 0.000

=====

Record 8
Li2CuS: relaxed, PBE-GGA.

Output
Symmetry ... I-42d
ΔE_f (raw) ... -21 kJ per mole of atoms
Spin magnetization ... 0.000 μB/atom

Cell lengths 3.781, 3.781, 8.693 Å; angles 77.44, 77.44, 90.00 degrees
Atoms (fractional coordinates):
S 0.500 0.500 0.000
S 0.250 0.750 0.500
Li 0.159 0.625 0.250
Li 0.591 0.125 0.250
Li 0.875 0.841 0.750
Li 0.375 0.409 0.750
Cu 0.750 0.250 0.500
Cu 0.000 0.000 0.000

=====

Please write out number 6 again, unchanged.
LiCu2S2: relaxed, PBE-GGA.

Output
Symmetry ... I4/mmm
ΔE_f (raw) ... -40 kJ per mole of atoms
Spin magnetization ... 0.000 μB/atom

Cell lengths 3.708, 3.708, 6.571 Å; angles 73.61, 73.61, 90.00 degrees
Atoms (fractional coordinates):
S 0.369 0.369 0.262
S 0.631 0.631 0.738
Cu 0.250 0.750 0.500
Cu 0.750 0.250 0.500
Li 0.000 0.000 0.000

=====

What is the formula in the fourth record? Li3CuS